Crystalline FeMoRh2 at its relaxed geometry. Source: Alexandria via LeMat-Bulk, functional PBE-GGA.

energy of formation	0.145	eV/atom
E_tot	-8.354	eV/atom

Cell: 6.0995 6.0995 6.0995 Å, 90.00 90.00 90.00°
Last column: nearest neighbours and their distance in Å.
Space group F-43m (No. 216)
Asymmetric unit:
Fe 0.0000 0.0000 0.0000 (multiplicity 4)  4 Mo 2.64, 4 Rh 2.64
Mo 0.2500 0.2500 0.2500 (multiplicity 4)  4 Rh 2.64, 4 Fe 2.64
Rh 0.0000 0.0000 0.5000 (multiplicity 4)  4 Mo 2.64, 4 Rh 2.64
Rh 0.2500 0.2500 0.7500 (multiplicity 4)  4 Fe 2.64, 4 Rh 2.64